No. 1
LaTb6Y4 PBE relaxed; total moment = 0.00 μB per formula unit; relative energy among the computed polymorphs = 313 meV per atom; E_form = 0.436 eV/atom
1.0
-7.113 -1.169 2.567
0.035 -7.000 -3.092
5.978 1.609 5.893
Y La Tb
4 1 6
Cartesian
-0.784 -1.739 0.801
-0.339 -0.133 6.638
4.448 -4.037 2.847
-5.525 -7.210 0.449
-3.539 -4.085 -0.262
-0.168 -3.522 3.416
-3.557 -0.585 1.284
-0.916 -6.405 0.464
3.237 0.408 3.669
-4.354 -3.600 3.186
0.017 -3.500 -1.546


No. 2
CeTmSb2 PBE relaxed; total moment = 0.93 μB per formula unit; relative energy among the computed polymorphs = 101 meV per atom
1.0
-1.909 -1.316 3.677
-3.793 -2.118 -0.157
1.805 -7.749 0.733
Ce Sb Tm
1 2 1
Cartesian
-1.927 -5.629 2.124
-1.024 -2.707 1.069
0.932 -6.192 0.837
-2.020 -9.994 3.083


No. 3
TlIn2Re PBE relaxed; total moment = 0.00 μB per formula unit; relative energy among the computed polymorphs = 190 meV per atom; E_form = 0.643 eV/atom
1.0
-2.723 0.590 1.181
0.271 -2.730 -1.278
3.258 -4.168 9.596
In Tl Re
2 1 1
Cartesian
0.044 -0.056 0.129
-0.312 -2.239 2.644
1.108 -4.057 6.827
1.595 -2.041 4.698


No. 4
CdRhS2O PBE relaxed; total moment = 0.45 μB per formula unit; E_tot = -3.80 eV per atom
1.0
-3.586 0.508 3.050
-0.210 -3.782 0.383
3.081 0.192 3.590
S Rh Cd O
2 1 1 1
Cartesian
1.540 0.096 1.795
-1.793 0.254 1.525
-0.105 -1.891 0.192
-0.358 -1.541 3.512
0.000 0.000 0.000


No. 5
Be2SbBr PBE relaxed; total moment = 0.00 μB per formula unit; relative energy among the computed polymorphs = 323 meV per atom
1.0
-5.578 1.653 -3.048
-2.987 1.022 -5.759
-4.760 -1.908 -4.104
Br Sb Be
1 1 2
Cartesian
-3.331 0.192 -3.228
-9.994 0.576 -9.683
-6.425 0.370 -6.225
-0.238 0.014 -0.231


No. 6
Np4Ir PBE relaxed; total moment = 8.40 μB per formula unit; E_form = 0.974 eV/atom
1.0
5.333 0.000 0.000
0.000 5.333 0.000
0.000 0.000 5.333
Np Ir
4 1
Cartesian
2.666 2.666 0.000
0.000 0.000 0.000
2.666 0.000 2.666
0.000 2.666 2.666
2.666 2.666 2.666


No. 7
Ca3Sn2Rh4 PBE relaxed; total moment = 0.00 μB per formula unit; E_form = -0.547 eV/atom
1.0
-0.756 4.296 0.372
-2.869 -2.363 -4.296
-5.936 -1.589 6.288
Rh Ca Sn
4 3 2
Cartesian
-2.368 1.913 -1.140
-7.193 -1.569 3.504
-5.292 1.381 -0.933
-4.269 -1.037 3.297
-6.065 -1.138 0.817
0.000 0.000 0.000
-3.495 1.481 1.547
-6.115 0.841 3.622
-3.445 -0.497 -1.258


No. 8
NaLiPuF6 PBE relaxed; total moment = 4.00 μB per formula unit; E_tot = -6.41 eV per atom
1.0
-2.132 -3.551 3.704
5.073 2.127 0.791
-3.950 7.568 4.983
F Na Pu Li
12 2 2 2
Cartesian
-3.223 3.570 4.496
-2.258 4.391 8.482
-0.370 2.281 3.378
1.405 0.133 3.580
2.213 2.573 4.981
3.747 1.906 2.745
1.248 1.753 0.996
-4.757 4.238 6.733
-0.640 3.863 6.100
1.857 4.110 2.366
-2.414 6.010 5.897
-2.867 2.034 7.112
-1.975 3.784 2.491
0.000 0.000 0.000
-0.291 5.910 5.499
-0.718 0.233 3.979
-2.693 4.018 6.470
1.684 2.126 3.008


No. 9
La2Y3Tm7 PBE relaxed; total moment = 0.00 μB per formula unit; relative energy among the computed polymorphs = 27 meV per atom; E_form = 0.121 eV/atom
1.0
3.618 0.000 0.000
0.000 5.667 0.000
0.000 -2.834 18.872
Tm Y La
7 3 2
Cartesian
0.000 0.000 0.000
0.000 0.000 15.574
1.809 2.834 16.244
1.809 0.000 2.627
0.000 2.834 3.297
0.000 2.834 10.175
0.000 0.000 8.697
1.809 2.834 0.000
1.809 2.834 7.077
1.809 0.000 11.795
0.000 2.834 13.343
0.000 0.000 5.529


No. 10
ZrMo2 PBE relaxed; total moment = 0.00 μB per formula unit; relative energy among the computed polymorphs = 0 meV per atom; E_form = -0.149 eV/atom
1.0
5.385 0.000 0.000
2.693 4.664 0.000
2.693 1.555 4.397
Mo Zr
4 2
Cartesian
1.346 0.777 2.199
2.693 0.000 0.000
5.385 3.109 2.199
4.039 0.777 2.199
2.693 3.109 0.550
8.078 3.109 3.848


No. 11
Tb7Tl2Ru2 PBE relaxed; total moment = 0.00 μB per formula unit; E_form = -0.225 eV/atom
1.0
-1.410 2.598 -6.159
-4.094 -5.700 -1.467
-4.759 2.306 4.325
Tb Ru Tl
7 2 2
Cartesian
-6.479 2.191 0.882
-3.395 -0.261 1.799
-6.868 -0.536 -5.099
-4.062 1.091 -1.267
-6.201 -1.887 -2.033
-3.784 -2.987 -4.182
0.000 0.000 0.000
-7.870 -3.308 -0.221
-2.393 2.512 -3.080
-3.171 -1.957 -1.067
-7.092 1.161 -2.233


No. 12
LaMn2ZnPt PBE relaxed; total moment = 5.02 μB per formula unit; E_form = 1.603 eV/atom
1.0
4.550 0.000 0.000
0.000 5.242 0.000
0.000 0.000 4.550
La Mn Zn Pt
1 2 1 1
Cartesian
0.000 0.000 0.000
2.275 0.000 0.000
0.000 0.000 2.275
0.000 2.621 0.000
2.275 2.621 2.275


No. 13
BaZn3Ru PBE relaxed; total moment = 2.39 μB per formula unit; relative energy among the computed polymorphs = 1883 meV per atom; E_form = 1.742 eV/atom
1.0
-4.640 -2.590 -2.518
2.730 -5.198 0.316
-2.365 -0.920 5.304
Ru Ba Zn
1 1 3
Cartesian
-2.138 -4.354 1.551
0.000 0.000 0.000
-1.183 -0.460 2.652
-2.320 -1.295 -1.259
1.365 -2.599 0.158


No. 14
Re2PSe PBE relaxed; total moment = 0.00 μB per formula unit; relative energy among the computed polymorphs = 781 meV per atom
1.0
-2.146 -1.698 -1.147
2.757 -2.522 -1.424
-0.210 -2.746 4.458
Se Re P
1 2 1
Cartesian
0.305 -2.110 -1.286
0.000 0.000 0.000
-1.178 -2.222 1.655
1.274 -2.634 1.517


No. 15
PPbCl2 PBE relaxed; total moment = 0.00 μB per formula unit; relative energy among the computed polymorphs = 530 meV per atom
1.0
-3.924 8.765 2.022
-6.461 7.386 0.050
-6.315 6.663 3.468
P Cl Pb
1 2 1
Cartesian
-8.445 11.537 2.802
-3.884 5.306 1.289
-0.201 0.275 0.067
-12.519 17.102 4.153


No. 16
SrUAsN PBE relaxed; total moment = 1.98 μB per formula unit; E_tot = -7.41 eV per atom
1.0
3.822 0.000 0.000
1.911 3.310 0.000
1.911 1.103 6.766
As Sr U N
1 1 1 1
Cartesian
5.733 3.310 5.314
3.822 2.207 3.224
5.733 3.310 0.350
1.911 1.103 1.260


No. 17
NiSnGe2Br PBE relaxed; total moment = 0.00 μB per formula unit; E_tot = -3.39 eV per atom
1.0
5.431 0.000 0.000
0.000 4.777 0.000
0.000 0.000 5.431
Br Ge Sn Ni
1 2 1 1
Cartesian
2.715 2.389 2.715
2.715 0.000 0.000
0.000 0.000 2.715
0.000 0.000 0.000
0.000 2.389 0.000


No. 18
SmHoIrPb PBE relaxed; total moment = 0.00 μB per formula unit; relative energy among the computed polymorphs = 0 meV per atom; E_form = -0.652 eV/atom
1.0
-3.087 -1.337 1.037
-0.097 -2.014 -2.885
3.877 -5.871 3.968
Ir Sm Pb Ho
1 1 1 1
Cartesian
2.176 -3.295 2.227
1.420 -6.237 2.159
0.308 -0.466 0.315
-0.168 -3.831 0.533


No. 19
Tl3Br PBE relaxed; total moment = 0.00 μB per formula unit; relative energy among the computed polymorphs = 28 meV per atom
1.0
-5.055 2.197 3.424
-1.348 -2.697 -5.746
4.847 -2.673 3.386
Tl Br
3 1
Cartesian
-3.202 -0.250 -1.161
-0.104 -0.238 3.405
1.749 -2.685 -1.180
0.000 0.000 0.000


No. 20
HfTi4Fe5 PBE relaxed; total moment = 0.00 μB per formula unit; E_form = -0.373 eV/atom
1.0
2.988 0.000 0.000
0.000 2.988 0.000
0.000 0.000 14.977
Fe Ti Hf
5 4 1
Cartesian
1.494 1.494 13.339
1.494 1.494 10.420
1.494 1.494 1.638
1.494 1.494 7.488
1.494 1.494 4.557
0.000 0.000 8.955
0.000 0.000 6.021
0.000 0.000 3.084
0.000 0.000 11.893
0.000 0.000 0.000


No. 21
Li4TbCd PBE relaxed; total moment = 0.00 μB per formula unit; E_form = -0.061 eV/atom
1.0
5.517 0.000 0.000
2.759 4.778 0.000
2.759 1.593 4.505
Cd Li Tb
1 4 1
Cartesian
0.000 0.000 0.000
6.916 3.993 2.824
4.118 3.993 2.824
5.517 1.570 2.824
5.517 3.185 0.539
2.759 1.593 1.126


No. 22
RbI3O PBE relaxed; total moment = 0.00 μB per formula unit; relative energy among the computed polymorphs = 0 meV per atom
1.0
7.335 0.000 0.000
0.000 7.335 0.000
3.668 3.668 6.171
I O Rb
6 2 2
Cartesian
1.958 5.378 0.000
5.378 5.378 0.000
7.335 7.335 2.483
3.668 3.668 3.688
1.958 1.958 0.000
5.378 1.958 0.000
3.668 3.668 0.000
0.000 0.000 0.000
3.668 7.335 3.085
7.335 3.668 3.085


No. 23
BePI2O PBE relaxed; total moment = 0.00 μB per formula unit; relative energy among the computed polymorphs = 0 meV per atom
1.0
6.260 0.000 0.000
0.000 6.260 0.000
0.000 0.000 2.910
O I Be P
1 2 1 1
Cartesian
0.000 0.000 1.455
3.130 0.000 0.000
0.000 3.130 0.000
0.000 0.000 0.000
3.130 3.130 1.455


No. 24
Sc2Al2CuPt5 PBE relaxed; total moment = 0.00 μB per formula unit; E_form = -0.873 eV/atom
1.0
3.641 0.000 0.000
0.000 9.457 0.000
0.000 0.000 9.457
Cu Al Pt Sc
2 4 10 4
Cartesian
0.000 4.729 4.729
0.000 0.000 0.000
0.000 1.190 5.919
0.000 3.538 1.190
0.000 5.919 8.267
0.000 8.267 3.538
1.820 8.817 1.898
1.820 2.830 5.368
1.820 6.627 4.089
1.820 0.640 7.559
1.820 0.000 4.729
1.820 7.559 8.817
1.820 4.729 0.000
1.820 5.368 6.627
1.820 1.898 0.640
1.820 4.089 2.830
0.000 7.809 6.377
0.000 6.377 1.648
0.000 3.081 7.809
0.000 1.648 3.081


No. 25
Sr3PmY3S8 PBE relaxed; total moment = 0.00 μB per formula unit; E_tot = -6.22 eV per atom
1.0
-1.584 -7.158 3.313
0.867 0.639 -7.973
6.675 0.766 4.846
S Sr Y Pm
8 3 3 1
Cartesian
4.541 -4.094 -1.864
4.114 -4.450 2.120
4.894 -0.883 0.431
1.417 -1.659 2.051
0.637 -5.184 3.682
5.321 -0.569 -3.496
1.844 -1.303 -1.934
1.064 -4.869 -0.244
0.433 0.319 -3.986
-0.358 -3.260 -2.330
0.000 0.000 0.000
2.546 -3.196 4.080
2.979 -2.876 0.093
3.771 0.703 -1.563
3.338 0.383 2.423